Computed, not measured: an optimized crystal structure of K3Ce3CrO8 at the PBE+U level of DFT.

Results
Electronic total energy = -7.097 eV per atom
Spin magnetization = 5.08 μB per formula unit

a b c (Å): 12.475 6.915 7.438
angles (deg): 90.00 122.83 90.00
Space group C2/m (No. 12)
Symmetry-distinct sites (fractional):
K1 0.000 0.000 0.000
K2 0.250 0.250 0.000
Ce1 0.000 0.500 0.500
Ce2 0.250 0.250 0.500
Cr1 0.000 0.000 0.500
O1 0.028 0.233 0.341
O2 0.227 0.500 0.691
O3 0.242 0.500 0.301